Entry 1
! ZrZn2Br | Alexandria | SCAN | PBEsol geometry; values from VASP
&SYSTEM
  ibrav = 0, nat = 4, ntyp = 3
/
ATOMIC_SPECIES
Zr 91.22 Zr.upf
Zn 65.41 Zn.upf
Br 79.90 Br.upf
CELL_PARAMETERS angstrom
3.163 0.000 0.000
0.000 3.163 0.000
0.000 0.000 8.037
ATOMIC_POSITIONS crystal
Zr 0.000 0.000 0.477
Zn 0.500 0.500 0.243
Zn 0.000 0.000 0.088
Br 0.500 0.500 0.692
! Density of states at the Fermi level: 1.45 states/eV/cell
! Size of the total moment: 0.0 μB/cell
! SG: P4mm


Entry 2
! ZrZn2Br | Alexandria | SCAN | PBEsol geometry; values from VASP
&SYSTEM
  ibrav = 0, nat = 4, ntyp = 3
/
ATOMIC_SPECIES
Zr 91.22 Zr.upf
Zn 65.41 Zn.upf
Br 79.90 Br.upf
CELL_PARAMETERS angstrom
3.499 0.000 0.000
0.000 3.499 0.000
0.000 0.000 6.246
ATOMIC_POSITIONS crystal
Zr 0.500 0.500 0.000
Zn 0.000 0.000 0.773
Br 0.500 0.500 0.500
Zn 0.000 0.000 0.227
! Density of states at the Fermi level: 1.59 states/eV/cell
! Size of the total moment: 0.0 μB/cell
! SG: P4/mmm


Entry 3
! ZrZn2Br | Alexandria | SCAN | PBEsol geometry; values from VASP
&SYSTEM
  ibrav = 0, nat = 4, ntyp = 3
/
ATOMIC_SPECIES
Br 79.90 Br.upf
Zn 65.41 Zn.upf
Zr 91.22 Zr.upf
CELL_PARAMETERS angstrom
3.272 0.000 0.000
0.000 4.960 0.000
-1.636 -2.480 4.694
ATOMIC_POSITIONS crystal
Br 0.233 0.733 0.467
Zn 0.017 0.017 0.033
Zr 0.502 0.502 0.003
Zn 0.748 0.248 0.497
! Density of states at the Fermi level: 2.69 states/eV/cell
! Size of the total moment: 0.0 μB/cell
! SG: Imm2


Which structure loses on stability? entry 2 does.


Entry 1
! ZrBr | Alexandria | SCAN | PBEsol geometry; values from VASP
&SYSTEM
  ibrav = 0, nat = 4, ntyp = 2
/
ATOMIC_SPECIES
Br 79.90 Br.upf
Zr 91.22 Zr.upf
CELL_PARAMETERS angstrom
4.511 0.000 0.000
2.255 3.906 0.000
2.255 1.302 5.337
ATOMIC_POSITIONS crystal
Br 0.607 0.607 0.179
Br 0.393 0.393 0.821
Zr 0.908 0.908 0.276
Zr 0.092 0.092 0.724
! Density of states at the Fermi level: 1.40 states/eV/cell
! Size of the total moment: 0.0 μB/cell
! SG: R-3m


Entry 2
! ZrBr | Alexandria | SCAN | PBEsol geometry; values from VASP
&SYSTEM
  ibrav = 0, nat = 4, ntyp = 2
/
ATOMIC_SPECIES
Br 79.90 Br.upf
Zr 91.22 Zr.upf
CELL_PARAMETERS angstrom
-2.045 -1.664 1.903
1.195 -4.024 -2.235
4.403 2.041 3.739
ATOMIC_POSITIONS crystal
Br 0.105 0.855 0.210
Zr 0.390 0.640 0.781
Br 0.895 0.145 0.790
Zr 0.610 0.360 0.219
! Density of states at the Fermi level: 2.73 states/eV/cell
! Size of the total moment: 0.0 μB/cell
! SG: Imma


Entry 3
! ZrBr | Alexandria | SCAN | PBEsol geometry; values from VASP
&SYSTEM
  ibrav = 0, nat = 4, ntyp = 2
/
ATOMIC_SPECIES
Br 79.90 Br.upf
Zr 91.22 Zr.upf
CELL_PARAMETERS angstrom
3.472 -0.011 -0.101
-1.726 3.013 0.101
-1.452 -1.164 9.536
ATOMIC_POSITIONS crystal
Br 0.713 0.107 0.820
Zr 0.085 0.292 0.377
Zr 0.915 0.708 0.623
Br 0.287 0.893 0.180
! Density of states at the Fermi level: 0.62 states/eV/cell
! Size of the total moment: 0.0 μB/cell
! SG: C2/m


Entry 4
! ZrBr | Alexandria | SCAN | PBEsol geometry; values from VASP
&SYSTEM
  ibrav = 0, nat = 4, ntyp = 2
/
ATOMIC_SPECIES
Br 79.90 Br.upf
Zr 91.22 Zr.upf
CELL_PARAMETERS angstrom
-2.869 1.707 2.268
1.978 -1.110 3.338
3.262 5.585 -0.077
ATOMIC_POSITIONS crystal
Br 0.500 0.000 0.301
Zr 0.500 0.500 0.000
Zr 0.000 0.000 0.000
Br 0.000 0.500 0.699
! Density of states at the Fermi level: 2.18 states/eV/cell
! Size of the total moment: 0.0 μB/cell
! SG: P4/nmm


Which structure loses on stability? entry 1 does.